A geometry-optimized HoMgPO structure, computed with GGA-PBE.

Unit cell a=4.289 b=6.089 c=5.736 alpha=90.00 beta=90.00 gamma=90.00
Space group Pmc2_1 (No. 26)
One atom of each set of equivalent atoms:
1 Ho 0.000 0.222 0.000 [2 per cell]
2 Mg 0.500 0.382 0.619 [2 per cell]
3 P 0.000 0.231 0.489 [2 per cell]
4 O 0.500 0.325 0.963 [2 per cell]

Properties
Total moment ... 0.00 μB per formula unit
Final energy ... -6.098 eV per atom

=====

A geometry-optimized HoMgPO structure, computed with GGA-PBE.

Unit cell a=3.731 b=6.088 c=6.461 alpha=90.00 beta=90.00 gamma=90.00
Space group Pmc2_1 (No. 26)
One atom of each set of equivalent atoms:
1 Ho 0.000 0.040 0.000 [2 per cell]
2 Mg 0.500 0.381 0.341 [2 per cell]
3 P 0.500 0.219 0.726 [2 per cell]
4 O 0.000 0.255 0.274 [2 per cell]

Properties
Total moment ... 0.00 μB per formula unit
Final energy ... -6.034 eV per atom

=====

A geometry-optimized HoMgPO structure, computed with GGA-PBE.

Unit cell a=4.388 b=4.388 c=9.053 alpha=90.00 beta=90.00 gamma=90.00
Space group P4/nmm (No. 129, origin choice 2)
One atom of each set of equivalent atoms:
1 Ho 0.250 0.750 0.000 [2 per cell]
2 Mg 0.250 0.250 0.490 [2 per cell]
3 P 0.250 0.250 0.168 [2 per cell]
4 O 0.250 0.750 0.500 [2 per cell]

Properties
Total moment ... 0.08 μB per formula unit
Final energy ... -5.327 eV per atom

=====

A geometry-optimized Ho3Mg2Sb3O14 structure, computed with GGA-PBE.

Unit cell a=7.2970 b=7.2970 c=17.1816 alpha=90.00 beta=90.00 gamma=120.00
Space group R-3m (No. 166, hexagonal axes)
One atom of each set of equivalent atoms:
1 Ho 0.0000 0.5000 0.0000 [9 per cell]
2 Mg 0.0000 0.0000 0.0000 [3 per cell]
3 Mg 0.0000 0.0000 0.5000 [3 per cell]
4 Sb 0.0000 0.5000 0.5000 [9 per cell]
5 O 0.0000 0.0000 0.3828 [6 per cell]
6 O 0.0409 0.5204 0.6124 [18 per cell]
7 O 0.0573 0.5286 0.8566 [18 per cell]

Properties
Total moment ... 0.00 μB per formula unit
Final energy ... -6.957 eV per atom

=====

A geometry-optimized HoMgZnP2 structure, computed with GGA-PBE.

Unit cell a=4.0702 b=4.0702 c=6.7607 alpha=90.00 beta=90.00 gamma=120.00
Space group P3m1 (No. 156)
One atom of each set of equivalent atoms:
1 Ho 0.0000 0.0000 0.0000 [1 per cell]
2 Mg 0.3333 0.6667 0.3700 [1 per cell]
3 Zn 0.6667 0.3333 0.6520 [1 per cell]
4 P 0.3333 0.6667 0.7451 [1 per cell]
5 P 0.6667 0.3333 0.2401 [1 per cell]

Properties
Total moment ... 0.02 μB per formula unit
Final energy ... -4.431 eV per atom

=====

A geometry-optimized HoMgPb structure, computed with GGA-PBE.

Unit cell a=7.203 b=7.203 c=7.203 alpha=90.00 beta=90.00 gamma=90.00
Space group F-43m (No. 216)
One atom of each set of equivalent atoms:
1 Ho 0.000 0.000 0.000 [4 per cell]
2 Mg 0.250 0.250 0.750 [4 per cell]
3 Pb 0.250 0.250 0.250 [4 per cell]

Properties
Total moment ... 0.00 μB per formula unit
Final energy ... -3.201 eV per atom